(1)
# NiC3I | the Alexandria database | GGA-PBE | optimized geometry
data_NiC3I
_chemical_formula_sum 'Ni1 C3 I1'
_symmetry_space_group_name_H-M 'P 1'
_symmetry_Int_Tables_number 1
_cell_length_a 3.9442
_cell_length_b 3.9442
_cell_length_c 3.9442
_cell_angle_alpha 90.00
_cell_angle_beta 90.00
_cell_angle_gamma 90.00
loop_
_symmetry_equiv_pos_as_xyz
'x,y,z'
loop_
_atom_site_label
_atom_site_fract_x
_atom_site_fract_y
_atom_site_fract_z
Ni1 0.0000 0.0000 0.0000
C1 0.0000 0.0000 0.5000
C2 0.0000 0.5000 0.0000
C3 0.5000 0.0000 0.0000
I1 0.5000 0.5000 0.5000
# Space-group type: Pm-3m, No. 221
# Raw formation energy, kcal/mol of atoms: 59.19
# E, eV per cell: -22.2

(2)
# Ni3CI | the Alexandria database | GGA-PBE | optimized geometry
data_Ni3CI
_chemical_formula_sum 'Ni3 C1 I1'
_symmetry_space_group_name_H-M 'P 1'
_symmetry_Int_Tables_number 1
_cell_length_a 3.9908
_cell_length_b 3.9908
_cell_length_c 3.9908
_cell_angle_alpha 90.00
_cell_angle_beta 90.00
_cell_angle_gamma 90.00
loop_
_symmetry_equiv_pos_as_xyz
'x,y,z'
loop_
_atom_site_label
_atom_site_fract_x
_atom_site_fract_y
_atom_site_fract_z
Ni1 0.0000 0.0000 0.5000
Ni2 0.0000 0.5000 0.0000
Ni3 0.5000 0.0000 0.0000
C1 0.0000 0.0000 0.0000
I1 0.5000 0.5000 0.5000
# Space-group type: Pm-3m, No. 221
# Raw formation energy, kcal/mol of atoms: 12.21
# E, eV per cell: -25.5